Computed, not measured: a geometry-optimized ThSc5Tl6 structure at the PBE-GGA level of DFT.

Calculated values
Energy   -4.650 eV/atom

```
ThSc5Tl6
1.0
-2.603 3.634 7.800
2.603 -3.634 7.800
2.603 3.634 -7.800
Th Sc Tl
1 5 6
Direct
0.000 0.000 0.000 Th
0.157 0.657 0.500 Sc
0.330 0.330 0.000 Sc
0.500 0.000 0.500 Sc
0.670 0.670 0.000 Sc
0.843 0.343 0.500 Sc
0.088 0.826 0.262 Tl
0.275 0.500 0.775 Tl
0.436 0.174 0.262 Tl
0.564 0.826 0.738 Tl
0.725 0.500 0.225 Tl
0.912 0.174 0.738 Tl
```

=====

Computed, not measured: a geometry-optimized Th2ScTl structure at the PBE-GGA level of DFT.

Calculated values
Energy   -5.772 eV/atom
Energy relative to the lowest polymorph listed for this composition   202 meV/atom

```
Th2ScTl
1.0
0.000 3.887 3.887
3.887 0.000 3.887
3.887 3.887 0.000
Th Sc Tl
2 1 1
Direct
0.250 0.250 0.250 Th
0.750 0.750 0.750 Th
0.000 0.000 0.000 Sc
0.500 0.500 0.500 Tl
```

=====

Computed, not measured: a geometry-optimized Th2ScTl structure at the PBE-GGA level of DFT.

Calculated values
Energy   -5.861 eV/atom
Energy relative to the lowest polymorph listed for this composition   113 meV/atom

```
Th2ScTl
1.0
4.183 0.000 0.000
0.000 4.183 0.000
0.000 0.000 6.757
Th Sc Tl
2 1 1
Direct
0.000 0.000 0.243 Th
0.000 0.000 0.757 Th
0.500 0.500 0.500 Sc
0.500 0.500 0.000 Tl
```

=====

Computed, not measured: a geometry-optimized ThScTl2 structure at the PBE-GGA level of DFT.

Calculated values
Energy   -4.749 eV/atom

```
ThScTl2
1.0
1.752 1.012 10.282
-1.752 1.012 10.282
0.000 -2.023 10.282
Th Sc Tl
1 1 2
Direct
0.000 0.000 0.000 Th
0.500 0.500 0.500 Sc
0.243 0.243 0.243 Tl
0.757 0.757 0.757 Tl
```

=====

Computed, not measured: a geometry-optimized ThScTl2 structure at the PBE-GGA level of DFT.

Calculated values
Energy   -4.774 eV/atom

```
ThScTl2
1.0
4.865 0.000 0.000
0.000 4.865 0.000
0.000 0.000 4.557
Th Sc Tl
1 1 2
Direct
0.000 0.000 0.000 Th
0.500 0.500 0.000 Sc
0.000 0.500 0.500 Tl
0.500 0.000 0.500 Tl
```

=====

Computed, not measured: a geometry-optimized Th5Sc3Tl12 structure at the PBE-GGA level of DFT.

Calculated values
Energy   -3.767 eV/atom

```
Th5Sc3Tl12
1.0
-8.914 8.914 8.914
8.914 -8.914 8.914
8.914 8.914 -8.914
Th Sc Tl
20 12 48
Direct
0.000 0.000 0.000 Th
0.000 0.000 0.500 Th
0.000 0.500 0.000 Th
0.000 0.500 0.500 Th
0.125 0.750 0.875 Th
0.125 0.875 0.250 Th
0.250 0.125 0.875 Th
0.250 0.625 0.375 Th
0.375 0.250 0.625 Th
0.375 0.625 0.750 Th
0.500 0.000 0.000 Th
0.500 0.000 0.500 Th
0.500 0.500 0.000 Th
0.500 0.500 0.500 Th
0.625 0.375 0.250 Th
0.625 0.750 0.375 Th
0.750 0.375 0.625 Th
0.750 0.875 0.125 Th
0.875 0.125 0.750 Th
0.875 0.250 0.125 Th
0.125 0.250 0.375 Sc
0.125 0.375 0.750 Sc
0.250 0.375 0.125 Sc
0.250 0.875 0.625 Sc
0.375 0.125 0.250 Sc
0.375 0.750 0.125 Sc
0.625 0.250 0.875 Sc
0.625 0.875 0.750 Sc
0.750 0.125 0.375 Sc
0.750 0.625 0.875 Sc
0.875 0.625 0.250 Sc
0.875 0.750 0.625 Sc
0.069 0.647 0.411 Tl
0.069 0.923 0.659 Tl
0.077 0.236 0.147 Tl
0.077 0.341 0.931 Tl
0.089 0.736 0.659 Tl
0.089 0.853 0.431 Tl
0.147 0.077 0.236 Tl
0.147 0.569 0.911 Tl
0.159 0.236 0.589 Tl
0.159 0.423 0.569 Tl
0.236 0.147 0.077 Tl
0.236 0.589 0.159 Tl
0.264 0.341 0.911 Tl
0.264 0.423 0.353 Tl
0.341 0.911 0.264 Tl
0.341 0.931 0.077 Tl
0.353 0.264 0.423 Tl
0.353 0.589 0.931 Tl
0.411 0.069 0.647 Tl
0.411 0.841 0.764 Tl
0.423 0.353 0.264 Tl
0.423 0.569 0.159 Tl
0.431 0.089 0.853 Tl
0.431 0.841 0.577 Tl
0.569 0.159 0.423 Tl
0.569 0.911 0.147 Tl
0.577 0.431 0.841 Tl
0.577 0.647 0.736 Tl
0.589 0.159 0.236 Tl
0.589 0.931 0.353 Tl
0.647 0.411 0.069 Tl
0.647 0.736 0.577 Tl
0.659 0.069 0.923 Tl
0.659 0.089 0.736 Tl
0.736 0.577 0.647 Tl
0.736 0.659 0.089 Tl
0.764 0.411 0.841 Tl
0.764 0.853 0.923 Tl
0.841 0.577 0.431 Tl
0.841 0.764 0.411 Tl
0.853 0.431 0.089 Tl
0.853 0.923 0.764 Tl
0.911 0.147 0.569 Tl
0.911 0.264 0.341 Tl
0.923 0.659 0.069 Tl
0.923 0.764 0.853 Tl
0.931 0.077 0.341 Tl
0.931 0.353 0.589 Tl
```

=====

Computed, not measured: a geometry-optimized ThSc12Tl3 structure at the PBE-GGA level of DFT.

Calculated values
Energy   -5.782 eV/atom

```
ThSc12Tl3
1.0
4.573 0.000 0.000
0.000 4.573 0.000
0.000 0.000 18.348
Th Sc Tl
1 12 3
Direct
0.000 0.000 0.000 Th
0.000 0.500 0.130 Sc
0.000 0.500 0.377 Sc
0.000 0.500 0.623 Sc
0.000 0.500 0.870 Sc
0.500 0.000 0.130 Sc
0.500 0.000 0.377 Sc
0.500 0.000 0.623 Sc
0.500 0.000 0.870 Sc
0.500 0.500 0.000 Sc
0.500 0.500 0.257 Sc
0.500 0.500 0.500 Sc
0.500 0.500 0.743 Sc
0.000 0.000 0.255 Tl
0.000 0.000 0.500 Tl
0.000 0.000 0.745 Tl
```

=====

Computed, not measured: a geometry-optimized Th3ScTl2 structure at the PBE-GGA level of DFT.

Calculated values
Energy   -5.595 eV/atom

```
Th3ScTl2
1.0
-3.256 8.549 3.237
3.256 -8.549 3.237
3.256 8.549 -3.237
Th Sc Tl
6 2 4
Direct
0.176 0.233 0.409 Th
0.250 0.250 0.000 Th
0.324 0.733 0.057 Th
0.676 0.267 0.943 Th
0.750 0.750 0.000 Th
0.824 0.767 0.591 Th
0.250 0.750 0.500 Sc
0.750 0.250 0.500 Sc
0.134 0.724 0.857 Tl
0.366 0.224 0.590 Tl
0.634 0.776 0.410 Tl
0.866 0.276 0.143 Tl
```

=====

Number 1: total moment 0.000 μB/atom, ΔE_f -0.211 eV/atom. Number 2: total moment 0.021 μB/atom, ΔE_f 0.112 eV/atom. Number 3: total moment 0.000 μB/atom, ΔE_f 0.024 eV/atom. Number 4: total moment 0.000 μB/atom, ΔE_f -0.128 eV/atom. Number 5: total moment 0.001 μB/atom, ΔE_f -0.153 eV/atom. Number 6: total moment 0.000 μB/atom, ΔE_f 0.458 eV/atom. Number 7: total moment 0.291 μB/atom, ΔE_f -0.125 eV/atom. Number 8: total moment 0.000 μB/atom, ΔE_f -0.042 eV/atom.